SrZr2AlSe | SCAN | PBEsol geometry

- V (Å³ per atom) = 27.665
- total DFT energy (no corrections) (eV per atom) = -21.910

Unit cell a=5.132 b=5.132 c=5.252 alpha=90.00 beta=90.00 gamma=90.00
Space group P4/mmm (No. 123)
One atom of each set of equivalent atoms:
Sr 0.000 0.000 0.000 (multiplicity 1)
Zr 0.000 0.500 0.500 (multiplicity 2)
Al 0.500 0.500 0.500 (multiplicity 1)
Se 0.500 0.500 0.000 (multiplicity 1)